Entry from Alexandria: an optimized crystal structure of LaNd2Al2Sn2 (PBE-GGA).

Cell lengths 4.7386, 4.7386, 29.8833 Å; angles 90.00, 90.00, 120.00 degrees
Space group R-3m (No. 166, hexagonal axes)
Inequivalent atoms, fractional coordinates:
La (0.0000, 0.0000, 0.0000) (multiplicity 3)
Nd (0.0000, 0.0000, 0.1304) (multiplicity 6)
Al (0.0000, 0.0000, 0.4107) (multiplicity 6)
Sn (0.0000, 0.0000, 0.2663) (multiplicity 6)

Values from the calculation:
Energy of formation from the pure elements in eV per atom: -0.37
Crystal system: trigonal

Entry from Alexandria: an optimized crystal structure of Ga5Pt2Rh (PBE-GGA).

Cell lengths 12.678, 5.724, 7.312 Å; angles 90.00, 90.00, 90.00 degrees
Space group Pnma (No. 62)
Inequivalent atoms, fractional coordinates:
Ga (0.005, 0.250, 0.094) (multiplicity 4)
Ga (0.119, 0.250, 0.699) (multiplicity 4)
Ga (0.135, 0.510, 0.337) (multiplicity 8)
Ga (0.202, 0.750, 0.674) (multiplicity 4)
Pt (0.166, 0.507, 0.979) (multiplicity 8)
Rh (0.015, 0.750, 0.545) (multiplicity 4)

Values from the calculation:
Energy of formation from the pure elements in eV per atom: -0.47
Crystal system: orthorhombic

Entry from Alexandria: an optimized crystal structure of Na3SiW (PBE-GGA).

Cell lengths 5.774, 5.774, 5.774 Å; angles 90.00, 90.00, 90.00 degrees
Space group Pm-3m (No. 221)
Inequivalent atoms, fractional coordinates:
Na (0.000, 0.000, 0.500) (multiplicity 3)
Si (0.500, 0.500, 0.500) (multiplicity 1)
W (0.000, 0.000, 0.000) (multiplicity 1)

Values from the calculation:
Formation energy from raw total energies in eV per atom: 1.887
Crystal system: cubic

Entry from Alexandria: an optimized crystal structure of Er2Tm4Pb (PBE-GGA).

Cell lengths 5.508, 6.740, 11.606 Å; angles 90.00, 103.50, 90.00 degrees
Space group P2_1/m (No. 11)
Inequivalent atoms, fractional coordinates:
Er (0.001, 0.250, 0.481) (multiplicity 2)
Er (0.284, 0.750, 0.063) (multiplicity 2)
Tm (0.148, 0.011, 0.790) (multiplicity 4)
Tm (0.287, 0.250, 0.083) (multiplicity 2)
Tm (0.419, 0.750, 0.355) (multiplicity 2)
Pb (0.438, 0.250, 0.354) (multiplicity 2)

Values from the calculation:
Energy of formation from the pure elements in eV per atom: -0.04
Crystal system: monoclinic